Record 1
NaFe: relaxed, PBE.

CIF file:
```
data_NaFe
_chemical_formula_sum 'Na1 Fe1'
_cell_length_a 2.6773
_cell_length_b 2.6773
_cell_length_c 5.2945
_cell_angle_alpha 90.00
_cell_angle_beta 90.00
_cell_angle_gamma 120.00
_space_group_name_H-M_alt 'P -6 m 2'
_space_group_IT_number 187
_space_group_name_Hall 'P -6 2'
loop_
_atom_site_label
_atom_site_type_symbol
_atom_site_fract_x
_atom_site_fract_y
_atom_site_fract_z
Na1 Na 0.0000 0.0000 0.0000
Fe1 Fe 0.3333 0.6667 0.5000
```

Values from the calculation:
Its total energy is -8.09 eV for the cell shown.

Record 2
NaGdB4: relaxed, PBE.

CIF file:
```
data_NaGdB4
_chemical_formula_sum 'Na2 Gd2 B8'
_cell_length_a 3.1595
_cell_length_b 5.5716
_cell_length_c 8.0722
_cell_angle_alpha 90.00
_cell_angle_beta 90.00
_cell_angle_gamma 90.00
_space_group_name_H-M_alt 'I m m m'
_space_group_IT_number 71
_space_group_name_Hall '-I 2 2'
loop_
_atom_site_label
_atom_site_type_symbol
_atom_site_fract_x
_atom_site_fract_y
_atom_site_fract_z
Na1 Na 0.0000 0.0000 0.0000
Gd1 Gd 0.0000 0.0000 0.5000
B1 B 0.0000 0.3193 0.2435
```

Values from the calculation:
The polymorph energy (0 for the lowest one) is 0 meV/atom.

Record 3
Tm4HgGeC2: relaxed, PBE.

CIF file:
```
data_Tm4HgGeC2
_chemical_formula_sum 'Tm4 Hg1 Ge1 C2'
_cell_length_a 3.5558
_cell_length_b 3.5558
_cell_length_c 14.9662
_cell_angle_alpha 90.00
_cell_angle_beta 90.00
_cell_angle_gamma 120.00
_space_group_name_H-M_alt 'P -6 m 2'
_space_group_IT_number 187
_space_group_name_Hall 'P -6 2'
loop_
_atom_site_label
_atom_site_type_symbol
_atom_site_fract_x
_atom_site_fract_y
_atom_site_fract_z
Tm1 Tm 0.0000 0.0000 0.1519
Tm2 Tm 0.3333 0.6667 0.3286
Hg1 Hg 0.0000 0.0000 0.5000
Ge1 Ge 0.3333 0.6667 0.0000
C1 C 0.6667 0.3333 0.2435
```

Values from the calculation:
Its total energy is -45.10 eV for the cell shown.

Record 4
Sm3Co2Ge3: relaxed, PBE.

CIF file:
```
data_Sm3Co2Ge3
_chemical_formula_sum 'Sm12 Co8 Ge12'
_cell_length_a 4.2063
_cell_length_b 10.7546
_cell_length_c 14.2890
_cell_angle_alpha 90.00
_cell_angle_beta 90.00
_cell_angle_gamma 90.00
_space_group_name_H-M_alt 'C m c m'
_space_group_IT_number 63
_space_group_name_Hall '-C 2c 2'
loop_
_atom_site_label
_atom_site_type_symbol
_atom_site_fract_x
_atom_site_fract_y
_atom_site_fract_z
Sm1 Sm 0.0000 0.0812 0.1087
Sm2 Sm 0.0000 0.3603 0.2500
Co1 Co 0.0000 0.2087 0.5976
Ge1 Ge 0.0000 0.3345 0.7500
Ge2 Ge 0.0000 0.3637 0.0390
```

Values from the calculation:
Its total energy is -190.09 eV for the cell shown.